A relaxed Cd2Ir crystal. Source: Alexandria via LeMat-Bulk, functional GGA-PBE.

DFT formation energy (meV per atom): 148

Cell lengths 7.9190, 7.9190, 3.0743 Å; angles 90.00, 90.00, 120.00 degrees
Space group P-62m (No. 189)
Symmetry-distinct sites (fractional):
Cd 0.0000 0.2911 0.0000 x3
Cd 0.0000 0.6181 0.5000 x3
Ir 0.0000 0.0000 0.5000 x1
Ir 0.3333 0.6667 0.0000 x2